Entry 1:
{
  "formula": "NaTi2Zn",
  "functional": "PBE",
  "state": "relaxed",
  "cell": [[-1.908, 1.908, 10.549], [1.908, -1.908, 10.549], [1.908, 1.908, -10.549]],
  "species": ["Na", "Na", "Ti", "Ti", "Ti", "Ti", "Zn", "Zn"],
  "fractional_positions": [[0.000, 0.000, 0.000], [0.750, 0.250, 0.500], [0.144, 0.625, 0.019], [0.375, 0.394, 0.519], [0.606, 0.125, 0.981], [0.875, 0.856, 0.481], [0.250, 0.750, 0.500], [0.500, 0.500, 0.000]],
  "e_form_mev_per_atom": 629,
  "vol_a3_per_atom": 19.21,
  "sg": "I-42d, No. 122"
}

---

Entry 2:
{
  "formula": "TbHf2Ga6",
  "functional": "PBE",
  "state": "relaxed",
  "cell": [[-2.073, 3.358, 6.445], [2.073, -3.358, 6.445], [2.073, 3.358, -6.445]],
  "species": ["Tb", "Hf", "Hf", "Ga", "Ga", "Ga", "Ga", "Ga", "Ga"],
  "fractional_positions": [[0.000, 0.000, 0.000], [0.381, 0.881, 0.500], [0.619, 0.119, 0.500], [0.014, 0.309, 0.705], [0.312, 0.500, 0.812], [0.396, 0.691, 0.705], [0.604, 0.309, 0.295], [0.688, 0.500, 0.188], [0.986, 0.691, 0.295]],
  "e_form_mev_per_atom": -379,
  "vol_a3_per_atom": 19.94,
  "sg": "Immm, No. 71"
}

---

Entry 3:
{
  "formula": "Li2ZnGe3",
  "functional": "PBE",
  "state": "relaxed",
  "cell": [[4.223, 0.000, 0.000], [-2.111, 3.657, 0.000], [0.000, 0.000, 6.836]],
  "species": ["Li", "Li", "Zn", "Ge", "Ge", "Ge"],
  "fractional_positions": [[0.000, 0.000, 0.000], [0.000, 0.000, 0.425], [0.667, 0.333, 0.259], [0.333, 0.667, 0.173], [0.333, 0.667, 0.787], [0.667, 0.333, 0.647]],
  "e_form_mev_per_atom": -201,
  "vol_a3_per_atom": 17.59,
  "sg": "P3m1, No. 156"
}